Entry from the Alexandria database: YCu2Ni4 after structural relaxation (PBE).

Structure (CIF):
```
data_YCu2Ni4
_cell_length_a 7.876
_cell_length_b 6.214
_cell_length_c 4.832
_cell_angle_alpha 90.00
_cell_angle_beta 127.66
_cell_angle_gamma 90.00
_space_group_name_H-M_alt 'C 1 2/m 1'
_space_group_IT_number 12
loop_
_space_group_symop_operation_xyz
'x,y,z'
'-x,-y,-z'
'-x,y,-z'
'x,-y,z'
'x+1/2,y+1/2,z'
'-x+1/2,-y+1/2,-z'
'-x+1/2,y+1/2,-z'
'x+1/2,-y+1/2,z'
loop_
_atom_site_label
_atom_site_type_symbol
_atom_site_fract_x
_atom_site_fract_y
_atom_site_fract_z
Y1 Y 0.000 0.000 0.000
Cu1 Cu 0.000 0.500 0.250
Ni1 Ni 0.192 0.193 0.692
```

Summary:
For the formation enthalpy at 0 K, the calculation gives -0.161 eV/atom. For the relative energy among the computed polymorphs, the calculation gives 0 meV/atom. The magnetization is 0.00 μB/cell.

Entry from the Alexandria database: Y2ZnCu5Ni2 after structural relaxation (PBE).

Structure (CIF):
```
data_Y2ZnCu5Ni2
_cell_length_a 9.023
_cell_length_b 9.023
_cell_length_c 3.805
_cell_angle_alpha 90.00
_cell_angle_beta 90.00
_cell_angle_gamma 90.00
_space_group_name_H-M_alt 'P 4/m b m'
_space_group_IT_number 127
_space_group_name_Hall '-P 4 2ab'
loop_
_atom_site_label
_atom_site_type_symbol
_atom_site_fract_x
_atom_site_fract_y
_atom_site_fract_z
Y1 Y 0.181 0.319 0.000
Zn1 Zn 0.000 0.000 0.000
Cu1 Cu 0.000 0.500 0.500
Cu2 Cu 0.058 0.795 0.500
Ni1 Ni 0.115 0.615 0.000
```

Summary:
For the formation enthalpy at 0 K, the calculation gives -0.189 eV/atom. The magnetization is 0.00 μB/cell.

Entry from the Alexandria database: Y2Zn2Cu5Ni after structural relaxation (PBE).

Structure (CIF):
```
data_Y2Zn2Cu5Ni
_cell_length_a 9.662
_cell_length_b 9.662
_cell_length_c 3.454
_cell_angle_alpha 90.00
_cell_angle_beta 90.00
_cell_angle_gamma 90.00
_space_group_name_H-M_alt 'P 4/m b m'
_space_group_IT_number 127
_space_group_name_Hall '-P 4 2ab'
loop_
_atom_site_label
_atom_site_type_symbol
_atom_site_fract_x
_atom_site_fract_y
_atom_site_fract_z
Y1 Y 0.178 0.322 0.000
Zn1 Zn 0.122 0.622 0.000
Cu1 Cu 0.000 0.500 0.500
Cu2 Cu 0.049 0.814 0.500
Ni1 Ni 0.000 0.000 0.000
```

Summary:
For the formation enthalpy at 0 K, the calculation gives -0.064 eV/atom. The magnetization is 0.00 μB/cell.